Material: AsPdAuO
Method: DFT, PBE
State: optimized geometry

It has space group Pmc2_1 (No. 26), with a = 3.884 Å, b = 6.450 Å, c = 5.735 Å, α = 90.00°, β = 90.00° and γ = 90.00°. The inequivalent atoms are As at (0.000, 0.238, 0.000), Pd at (0.000, 0.137, 0.589), Au at (0.500, 0.486, 0.027) and O at (0.500, 0.172, 0.519).

For the energy relative to the lowest polymorph listed for this composition, the calculation gives 15 kJ/mol of formula units.